Here is crystalline PuSc2Tl3 at its relaxed geometry from the Alexandria database. Energies are from GGA-PBE.

## Properties
Fermi-level density of states (states/eV per cell): 9.88
Raw total energy (eV per cell): -35.18

```
PuSc2Tl3
1.0
3.310 0.000 0.000
0.000 3.310 0.000
0.000 0.000 13.417
Pu Sc Tl
1 2 3
direct
0.000 0.000 0.000
0.000 0.000 0.341
0.000 0.000 0.659
0.500 0.500 0.181
0.500 0.500 0.500
0.500 0.500 0.819
```

***

Here is crystalline Pu2ScTl at its relaxed geometry from the Alexandria database. Energies are from GGA-PBE.

## Properties
Fermi-level density of states (states/eV per cell): 9.87
Raw total energy (eV per cell): -37.54

```
Pu2ScTl
1.0
4.415 0.000 0.000
0.000 4.415 0.000
0.000 0.000 5.107
Pu Sc Tl
2 1 1
direct
0.000 0.500 0.000
0.500 0.000 0.000
0.000 0.000 0.500
0.500 0.500 0.500
```

***

Here is crystalline PuScTl2 at its relaxed geometry from the Alexandria database. Energies are from GGA-PBE.

## Properties
Fermi-level density of states (states/eV per cell): 11.23
Distance to the lowest polymorph of the same formula (meV/atom): 65

```
PuScTl2
1.0
4.797 0.000 0.000
0.000 4.797 0.000
0.000 0.000 4.470
Pu Sc Tl
1 1 2
direct
0.000 0.000 0.000
0.500 0.500 0.000
0.000 0.500 0.500
0.500 0.000 0.500
```

***

Here is crystalline PuScTl2 at its relaxed geometry from the Alexandria database. Energies are from GGA-PBE.

## Properties
Fermi-level density of states (states/eV per cell): 8.20
Distance to the lowest polymorph of the same formula (meV/atom): 0

```
PuScTl2
1.0
3.317 0.000 0.000
0.000 3.317 0.000
0.000 0.000 9.134
Pu Sc Tl
1 1 2
direct
0.000 0.000 0.000
0.000 0.000 0.500
0.500 0.500 0.265
0.500 0.500 0.735
```

***

Here is crystalline Pu4ScTl5 at its relaxed geometry from the Alexandria database. Energies are from GGA-PBE.

## Properties
Fermi-level density of states (states/eV per cell): 28.70
Raw total energy (eV per cell): -76.21

```
Pu4ScTl5
1.0
3.299 0.000 0.000
0.000 3.299 0.000
0.000 0.000 23.890
Pu Sc Tl
4 1 5
direct
0.000 0.000 0.103
0.000 0.000 0.308
0.000 0.000 0.692
0.000 0.000 0.897
0.000 0.000 0.500
0.500 0.500 0.000
0.500 0.500 0.205
0.500 0.500 0.410
0.500 0.500 0.590
0.500 0.500 0.795
```

***

Here is crystalline PuScTl2 at its relaxed geometry from the Alexandria database. Energies are from GGA-PBE.

## Properties
Fermi-level density of states (states/eV per cell): 10.64
Distance to the lowest polymorph of the same formula (meV/atom): 40

```
PuScTl2
1.0
0.000 3.728 3.728
3.728 0.000 3.728
3.728 3.728 0.000
Pu Sc Tl
1 1 2
direct
0.000 0.000 0.000
0.500 0.500 0.500
0.250 0.250 0.250
0.750 0.750 0.750
```

***

Here is crystalline PuScTl at its relaxed geometry from the Alexandria database. Energies are from GGA-PBE.

## Properties
Fermi-level density of states (states/eV per cell): 5.62
Distance to the lowest polymorph of the same formula (meV/atom): 129

```
PuScTl
1.0
5.164 0.000 0.000
-2.582 4.472 0.000
0.000 0.000 3.400
Pu Sc Tl
1 1 1
direct
0.000 0.000 0.000
0.333 0.667 0.507
0.667 0.333 0.490
```

***

Here is crystalline PuScTl2 at its relaxed geometry from the Alexandria database. Energies are from GGA-PBE.

## Properties
Fermi-level density of states (states/eV per cell): 10.04
Distance to the lowest polymorph of the same formula (meV/atom): 98

```
PuScTl2
1.0
1.725 0.996 10.246
-1.725 0.996 10.246
0.000 -1.991 10.246
Pu Sc Tl
1 1 2
direct
0.000 0.000 0.000
0.833 0.833 0.833
0.245 0.245 0.245
0.421 0.421 0.421
```